The following is a PBE calculation of a geometry-optimized Th3Ag2Hg4 structure, from Alexandria via LeMat-Bulk.

calculated total energy: -3.490 eV/atom
DOS at the Fermi energy: 7.33 states/eV per cell
DFT formation energy: -2.238 eV per formula unit
space-group type: C2/m

Cell: 5.0282 6.0660 9.3313 Å, 118.04 90.00 114.48°
With the nearest neighbours (Å) after each atom.
Element x y z (fractional)
Ag 0.3899 0.7798 0.7211  3 Hg 2.87-2.88
Ag 0.6101 0.2202 0.2789  3 Hg 2.87-2.88
Th 0.0000 0.0000 0.0000  8 Hg 3.32-3.41, 4 Ag 3.36, 2 Th 3.39
Th 0.3341 0.6681 0.3350  8 Hg 3.33-3.41, 4 Ag 3.33-3.37, 2 Th 3.35-3.39
Th 0.6659 0.3319 0.6650  8 Hg 3.33-3.41, 4 Ag 3.33-3.37, 2 Th 3.35-3.39
Hg 0.0576 0.1153 0.3867  2 Ag 2.88, 1 Hg 2.98
Hg 0.9424 0.8847 0.6133  2 Ag 2.88, 1 Hg 2.98
Hg 0.7196 0.4391 0.0592  1 Ag 2.87, 2 Hg 2.96
Hg 0.2804 0.5609 0.9408  1 Ag 2.87, 2 Hg 2.96